1.
A geometry-optimized TiCoTe2Ir structure. Source: Alexandria, functional PBE.

Computed properties:
DFT total energy in eV/cell: -25.41
Raw formation energy in eV/atom: 0.947

Unit cell a=5.259 b=5.259 c=4.685 alpha=90.00 beta=90.00 gamma=90.00
Sites, in units of the cell vectors:
Ti 0.000 0.000 0.000
Co 0.500 0.500 0.000
Te 0.000 0.500 0.500
Te 0.500 0.000 0.500
Ir 0.000 0.000 0.500



2.
A geometry-optimized Th8CoIr2 structure. Source: Alexandria, functional PBE.

Computed properties:
Calculated formation energy in eV/atom: -0.24
DFT total energy in eV/cell: -86.86

Unit cell a=8.025 b=8.025 c=6.323 alpha=103.50 beta=103.50 gamma=121.00
Sites, in units of the cell vectors:
Th 0.000 0.000 0.000
Th 0.108 0.509 0.185
Th 0.210 0.966 0.557
Th 0.443 0.698 0.815
Th 0.509 0.108 0.185
Th 0.644 0.644 0.373
Th 0.698 0.443 0.815
Th 0.966 0.210 0.557
Co 0.321 0.321 0.424
Ir 0.019 0.614 0.657
Ir 0.614 0.019 0.657



3.
A geometry-optimized ThCoIr structure. Source: Alexandria, functional PBE.

Computed properties:
Calculated formation energy in eV/atom: -0.56
DFT total energy in eV/cell: -25.08

Unit cell a=4.176 b=4.176 c=3.932 alpha=90.00 beta=90.00 gamma=120.00
Sites, in units of the cell vectors:
Th 0.000 0.000 0.000
Co 0.333 0.667 0.500
Ir 0.667 0.333 0.500



4.
A geometry-optimized ThCo2Ir structure. Source: Alexandria, functional PBE.

Computed properties:
Calculated formation energy in eV/atom: -0.33
DFT total energy in eV/cell: -31.79

Unit cell a=5.138 b=5.138 c=5.138 alpha=48.98 beta=48.98 gamma=48.98
Sites, in units of the cell vectors:
Th 0.000 0.000 0.000
Co 0.191 0.191 0.191
Co 0.809 0.809 0.809
Ir 0.500 0.500 0.500



5.
A geometry-optimized Th3Co2Ir7 structure. Source: Alexandria, functional PBE.

Computed properties:
Calculated formation energy in eV/atom: -0.63
DFT total energy in eV/cell: -106.10

Unit cell a=9.150 b=9.150 c=9.150 alpha=33.97 beta=33.97 gamma=33.97
Sites, in units of the cell vectors:
Th 0.000 0.000 0.000
Th 0.139 0.139 0.139
Th 0.861 0.861 0.861
Co 0.333 0.333 0.333
Co 0.667 0.667 0.667
Ir 0.077 0.579 0.579
Ir 0.421 0.421 0.923
Ir 0.421 0.923 0.421
Ir 0.500 0.500 0.500
Ir 0.579 0.077 0.579
Ir 0.579 0.579 0.077
Ir 0.923 0.421 0.421



6.
A geometry-optimized Th2CoIr structure. Source: Alexandria, functional PBE.

Computed properties:
Calculated formation energy in eV/atom: 0.11
DFT total energy in eV/cell: -30.38

Unit cell a=8.496 b=8.496 c=8.496 alpha=27.08 beta=27.08 gamma=27.08
Sites, in units of the cell vectors:
Th 0.098 0.098 0.098
Th 0.902 0.902 0.902
Co 0.000 0.000 0.000
Ir 0.500 0.500 0.500



7.
A geometry-optimized Th8Co2Ir structure. Source: Alexandria, functional PBE.

Computed properties:
Calculated formation energy in eV/atom: -0.15
DFT total energy in eV/cell: -84.05

Unit cell a=7.707 b=7.707 c=6.144 alpha=99.41 beta=99.41 gamma=118.48
Sites, in units of the cell vectors:
Th 0.000 0.000 0.000
Th 0.121 0.539 0.171
Th 0.255 0.993 0.567
Th 0.465 0.722 0.791
Th 0.539 0.121 0.171
Th 0.717 0.717 0.363
Th 0.722 0.465 0.791
Th 0.993 0.255 0.567
Co 0.092 0.674 0.717
Co 0.674 0.092 0.717
Ir 0.359 0.359 0.398



8.
A geometry-optimized Th2CoIr structure. Source: Alexandria, functional PBE.

Computed properties:
Calculated formation energy in eV/atom: -0.61
DFT total energy in eV/cell: -66.46

Unit cell a=11.615 b=11.615 c=4.142 alpha=90.00 beta=90.00 gamma=160.61
Sites, in units of the cell vectors:
Th 0.063 0.937 0.750
Th 0.320 0.680 0.750
Th 0.680 0.320 0.250
Th 0.937 0.063 0.250
Co 0.458 0.542 0.750
Co 0.542 0.458 0.250
Ir 0.187 0.813 0.750
Ir 0.813 0.187 0.250



9.
A geometry-optimized ThCoIr2 structure. Source: Alexandria, functional PBE.

Computed properties:
Calculated formation energy in eV/atom: -0.38
DFT total energy in eV/cell: -33.77

Unit cell a=4.069 b=4.069 c=4.138 alpha=90.00 beta=90.00 gamma=90.00
Sites, in units of the cell vectors:
Th 0.000 0.000 0.000
Co 0.500 0.500 0.000
Ir 0.000 0.500 0.500
Ir 0.500 0.000 0.500



10.
A geometry-optimized ThCo4Ir structure. Source: Alexandria, functional PBE.

Computed properties:
Calculated formation energy in eV/atom: -0.09
DFT total energy in eV/cell: -45.25

Unit cell a=4.983 b=4.983 c=4.983 alpha=60.00 beta=60.00 gamma=60.00
Sites, in units of the cell vectors:
Th 0.000 0.000 0.000
Co 0.377 0.377 0.377
Co 0.377 0.377 0.870
Co 0.377 0.870 0.377
Co 0.870 0.377 0.377
Ir 0.750 0.750 0.750



11.
A geometry-optimized Th3CoIr8 structure. Source: Alexandria, functional PBE.

Computed properties:
Calculated formation energy in eV/atom: -0.56
DFT total energy in eV/cell: -106.93

Unit cell a=9.414 b=9.414 c=9.414 alpha=33.27 beta=33.27 gamma=33.27
Sites, in units of the cell vectors:
Th 0.000 0.000 0.000
Th 0.131 0.131 0.131
Th 0.609 0.609 0.609
Co 0.471 0.471 0.471
Ir 0.059 0.059 0.563
Ir 0.059 0.562 0.562
Ir 0.059 0.563 0.059
Ir 0.311 0.311 0.311
Ir 0.562 0.059 0.562
Ir 0.562 0.562 0.059
Ir 0.563 0.059 0.059
Ir 0.812 0.812 0.812



12.
A geometry-optimized ThCoIr structure. Source: Alexandria, functional PBE.

Computed properties:
Calculated formation energy in eV/atom: 0.23
DFT total energy in eV/cell: -136.26

Unit cell a=6.038 b=6.038 c=11.250 alpha=90.00 beta=90.00 gamma=120.00
Sites, in units of the cell vectors:
Th 0.000 0.500 0.402
Th 0.000 0.500 0.931
Th 0.500 0.000 0.265
Th 0.500 0.000 0.735
Th 0.500 0.500 0.069
Th 0.500 0.500 0.598
Co 0.209 0.604 0.167
Co 0.396 0.604 0.833
Co 0.396 0.791 0.500
Co 0.604 0.209 0.500
Co 0.604 0.396 0.833
Co 0.791 0.396 0.167
Ir 0.000 0.000 0.167
Ir 0.000 0.000 0.500
Ir 0.000 0.000 0.833
Ir 0.000 0.500 0.667
Ir 0.500 0.000 0.000
Ir 0.500 0.500 0.333



The following theoretical density values (in g cm⁻³) correspond, in order, to the records above: 7.104, 12.426, 13.512, 12.697, 16.824, 10.596, 11.835, 12.806, 16.370, 12.530, 17.025, 13.552.